1.
DFT (PBE) results for crystalline CoMo2Au at its relaxed geometry.

Unit cell a=9.3032 b=9.3032 c=9.3032 alpha=17.17 beta=17.17 gamma=17.17
Last column: nearest neighbours and their distance in Å.
Sites, in units of the cell vectors:
1 Co 0.0000 0.0000 0.0000  3 Mo 2.58, 3 Au 2.77, 6 Co 2.78
2 Mo 0.2599 0.2599 0.2599  3 Co 2.58, 6 Mo 2.78
3 Mo 0.5048 0.5048 0.5048  9 Mo 2.78-2.91, 3 Au 2.93
4 Au 0.7488 0.7488 0.7488  3 Co 2.77, 6 Au 2.78, 3 Mo 2.93

Results
- excess energy over the best structure of this formula in the dataset (kJ/mol of atoms) = 16.62
- electronic total energy (eV per atom) = -7.686
- E_form (eV/atom) = 0.326
- total magnetization (μB per cell) = 0.98

---

2.
DFT (PBE) results for crystalline LaMg4 at its relaxed geometry.

Unit cell a=5.8100 b=5.8100 c=5.8100 alpha=90.00 beta=90.00 gamma=90.00
Last column: nearest neighbours and their distance in Å.
Sites, in units of the cell vectors:
1 La 0.0000 0.0000 0.0000  6 Mg 2.91
2 Mg 0.0000 0.0000 0.5000  2 La 2.91
3 Mg 0.0000 0.5000 0.0000  2 La 2.91
4 Mg 0.5000 0.0000 0.0000  2 La 2.91
5 Mg 0.5000 0.5000 0.5000  12 Mg 4.11

Results
- electronic total energy (eV per atom) = -1.163
- E_form (eV/atom) = 1.098
- total magnetization (μB per cell) = 1.16

---

3.
DFT (PBE) results for crystalline Nd3Hg2 at its relaxed geometry.

Unit cell a=12.4677 b=3.9060 c=13.0304 alpha=90.00 beta=90.00 gamma=90.00
Last column: nearest neighbours and their distance in Å.
Sites, in units of the cell vectors:
1 Nd 0.0547 0.2500 0.1367  5 Hg 3.19-3.24
2 Nd 0.1385 0.7500 0.5465  5 Hg 3.16-3.23
3 Nd 0.2210 0.2500 0.7769  4 Hg 3.29-3.32
4 Nd 0.2790 0.7500 0.2769  4 Hg 3.29-3.32
5 Nd 0.3615 0.2500 0.0465  5 Hg 3.16-3.23
6 Nd 0.4453 0.7500 0.6367  5 Hg 3.19-3.24
7 Nd 0.5547 0.2500 0.3633  5 Hg 3.19-3.24
8 Nd 0.6385 0.7500 0.9535  5 Hg 3.16-3.23
9 Nd 0.7210 0.2500 0.7231  4 Hg 3.29-3.32
10 Nd 0.7790 0.7500 0.2231  4 Hg 3.29-3.32
11 Nd 0.8615 0.2500 0.4535  5 Hg 3.16-3.23
12 Nd 0.9453 0.7500 0.8633  5 Hg 3.19-3.24
13 Hg 0.0209 0.7500 0.3277  7 Nd 3.19-3.31
14 Hg 0.1757 0.7500 0.9783  7 Nd 3.16-3.32
15 Hg 0.3243 0.2500 0.4783  7 Nd 3.16-3.32
16 Hg 0.4791 0.2500 0.8277  7 Nd 3.19-3.31
17 Hg 0.5209 0.7500 0.1723  7 Nd 3.19-3.31
18 Hg 0.6757 0.7500 0.5217  7 Nd 3.16-3.32
19 Hg 0.8243 0.2500 0.0217  7 Nd 3.16-3.32
20 Hg 0.9791 0.2500 0.6723  7 Nd 3.19-3.31

Results
- electronic total energy (eV per atom) = -3.278
- E_form (eV/atom) = -0.297
- total magnetization (μB per cell) = 0.00

---

Which value of E_form does entry 3 give?
-0.297 eV/atom

---

Copy entry 3 word for word.
DFT (PBE) results for crystalline Nd3Hg2 at its relaxed geometry.

Unit cell a=12.4677 b=3.9060 c=13.0304 alpha=90.00 beta=90.00 gamma=90.00
Last column: nearest neighbours and their distance in Å.
Sites, in units of the cell vectors:
1 Nd 0.0547 0.2500 0.1367  5 Hg 3.19-3.24
2 Nd 0.1385 0.7500 0.5465  5 Hg 3.16-3.23
3 Nd 0.2210 0.2500 0.7769  4 Hg 3.29-3.32
4 Nd 0.2790 0.7500 0.2769  4 Hg 3.29-3.32
5 Nd 0.3615 0.2500 0.0465  5 Hg 3.16-3.23
6 Nd 0.4453 0.7500 0.6367  5 Hg 3.19-3.24
7 Nd 0.5547 0.2500 0.3633  5 Hg 3.19-3.24
8 Nd 0.6385 0.7500 0.9535  5 Hg 3.16-3.23
9 Nd 0.7210 0.2500 0.7231  4 Hg 3.29-3.32
10 Nd 0.7790 0.7500 0.2231  4 Hg 3.29-3.32
11 Nd 0.8615 0.2500 0.4535  5 Hg 3.16-3.23
12 Nd 0.9453 0.7500 0.8633  5 Hg 3.19-3.24
13 Hg 0.0209 0.7500 0.3277  7 Nd 3.19-3.31
14 Hg 0.1757 0.7500 0.9783  7 Nd 3.16-3.32
15 Hg 0.3243 0.2500 0.4783  7 Nd 3.16-3.32
16 Hg 0.4791 0.2500 0.8277  7 Nd 3.19-3.31
17 Hg 0.5209 0.7500 0.1723  7 Nd 3.19-3.31
18 Hg 0.6757 0.7500 0.5217  7 Nd 3.16-3.32
19 Hg 0.8243 0.2500 0.0217  7 Nd 3.16-3.32
20 Hg 0.9791 0.2500 0.6723  7 Nd 3.19-3.31

Results
- electronic total energy (eV per atom) = -3.278
- E_form (eV/atom) = -0.297
- total magnetization (μB per cell) = 0.00